Record 1
The following is a DFT calculation (PBE) of a relaxed NdSm2Sb3 crystal.

Summary:
Uncorrected energy (eV/atom): -5.493
Polymorph energy (0 for the lowest one) (eV/atom): 0.116

a b c (Å): 7.7041 7.7041 23.2241
angles (deg): 90.00 90.00 120.00
Space group R-3c (No. 167, hexagonal axes)
Unique sites:
Nd 0.0000 0.0000 0.0000
Sm 0.0000 0.0000 0.1666
Sb 0.0000 0.3313 0.2500

Record 2
The following is a DFT calculation (PBE) of a relaxed Nd4SmSb5 crystal.

Summary:
Uncorrected energy (eV/atom): -5.627

a b c (Å): 4.5181 6.3785 22.5551
angles (deg): 90.00 90.00 90.00
Space group Immm (No. 71)
Unique sites:
Nd 0.0000 0.0000 0.0999
Nd 0.0000 0.0000 0.3005
Sm 0.0000 0.0000 0.5000
Sb 0.0000 0.5000 0.0988
Sb 0.0000 0.5000 0.2999
Sb 0.0000 0.5000 0.5000

Record 3
The following is a DFT calculation (PBE) of a relaxed Nd3Sm4Sb4 crystal.

Summary:
Uncorrected energy (eV/atom): -5.337

a b c (Å): 4.1668 9.2429 17.7983
angles (deg): 90.00 90.00 90.00
Space group Immm (No. 71)
Unique sites:
Nd 0.0000 0.0000 0.0000
Nd 0.0000 0.5000 0.0980
Sm 0.0000 0.3209 0.3303
Sb 0.0000 0.0000 0.2668
Sb 0.0000 0.2133 0.5000

Record 4
The following is a DFT calculation (PBE) of a relaxed Nd3Sm2Sb3 crystal.

Summary:
Uncorrected energy (eV/atom): -5.483

a b c (Å): 9.2817 9.2817 6.5001
angles (deg): 90.00 90.00 120.00
Space group P6_3/mcm (No. 193)
Unique sites:
Nd 0.0000 0.2493 0.2500
Sm 0.3333 0.6667 0.0000
Sb 0.0000 0.3890 0.7500

Record 5
The following is a DFT calculation (PBE) of a relaxed Nd12SmSb6 crystal.

Summary:
Uncorrected energy (eV/atom): -5.063

a b c (Å): 14.2797 14.2797 11.4954
angles (deg): 90.00 90.00 120.00
Space group R-3 (No. 148, hexagonal axes)
Unique sites:
Nd 0.0247 0.1898 0.3648
Nd 0.0654 0.2279 0.8982
Sm 0.0000 0.0000 0.0000
Sb 0.0319 0.2644 0.6339

Record 6
The following is a DFT calculation (PBE) of a relaxed NdSm2Sb3 crystal.

Summary:
Uncorrected energy (eV/atom): -5.609
Polymorph energy (0 for the lowest one) (eV/atom): 0.000

a b c (Å): 4.4927 6.3431 13.4676
angles (deg): 90.00 90.00 90.00
Space group Immm (No. 71)
Unique sites:
Nd 0.0000 0.0000 0.0000
Sm 0.0000 0.0000 0.3337
Sb 0.0000 0.5000 0.0000
Sb 0.0000 0.5000 0.3316

Record 7
The following is a DFT calculation (PBE) of a relaxed Nd5Sm3Sb8 crystal.

Summary:
Uncorrected energy (eV/atom): -5.620

a b c (Å): 9.0106 9.0106 22.0693
angles (deg): 90.00 90.00 120.00
Space group R-3m (No. 166, hexagonal axes)
Unique sites:
Nd 0.0000 0.0000 0.0000
Nd 0.0000 0.0000 0.5000
Nd 0.0000 0.5000 0.0000
Sm 0.0000 0.5000 0.5000
Sb 0.0000 0.0000 0.2489
Sb 0.0015 0.5007 0.7507

Record 8
The following is a DFT calculation (PBE) of a relaxed Nd3SmSb4 crystal.

Summary:
Uncorrected energy (eV/atom): -5.629
Polymorph energy (0 for the lowest one) (eV/atom): 0.000

a b c (Å): 6.3764 6.3764 6.3764
angles (deg): 90.00 90.00 90.00
Space group Pm-3m (No. 221)
Unique sites:
Nd 0.0000 0.0000 0.5000
Sm 0.5000 0.5000 0.5000
Sb 0.0000 0.0000 0.0000
Sb 0.0000 0.5000 0.5000

Record 9
The following is a DFT calculation (PBE) of a relaxed NdSm12Sb6 crystal.

Summary:
Uncorrected energy (eV/atom): -5.018

a b c (Å): 14.1312 14.1312 11.3009
angles (deg): 90.00 90.00 120.00
Space group R-3 (No. 148, hexagonal axes)
Unique sites:
Nd 0.0000 0.0000 0.0000
Sm 0.0239 0.8365 0.3630
Sm 0.0663 0.8372 0.8991
Sb 0.0305 0.7664 0.6332

Record 10
The following is a DFT calculation (PBE) of a relaxed NdSm3Sb3 crystal.

Summary:
Uncorrected energy (eV/atom): -5.522
Polymorph energy (0 for the lowest one) (eV/atom): 0.000

a b c (Å): 9.4277 9.4277 9.4277
angles (deg): 90.00 90.00 90.00
Space group P2_13 (No. 198)
Unique sites:
Nd 0.0703 0.4297 0.5703
Sm 0.0720 0.5720 0.9280
Sm 0.1795 0.8205 0.3205
Sm 0.1800 0.1800 0.1800
Sb 0.0005 0.2521 0.8764

Record 11
The following is a DFT calculation (PBE) of a relaxed NdSm2Sb2 crystal.

Summary:
Uncorrected energy (eV/atom): -5.172

a b c (Å): 6.4357 6.4953 8.0106
angles (deg): 90.00 113.59 90.00
Space group C2/m (No. 12)
Unique sites:
Nd 0.0000 0.0000 0.0000
Sm 0.0000 0.2511 0.5000
Sb 0.1030 0.5000 0.2026

Record 12
The following is a DFT calculation (PBE) of a relaxed NdSm3Sb4 crystal.

Summary:
Uncorrected energy (eV/atom): -5.611
Polymorph energy (0 for the lowest one) (eV/atom): 0.000

a b c (Å): 6.3384 6.3384 6.3384
angles (deg): 90.00 90.00 90.00
Space group Pm-3m (No. 221)
Unique sites:
Nd 0.0000 0.0000 0.0000
Sm 0.0000 0.5000 0.5000
Sb 0.0000 0.0000 0.5000
Sb 0.5000 0.5000 0.5000

Record 13
The following is a DFT calculation (PBE) of a relaxed Nd12Sm5Sb3 crystal.

Summary:
Uncorrected energy (eV/atom): -4.202

a b c (Å): 18.3030 18.3030 18.3030
angles (deg): 90.00 90.00 90.00
Space group Ia-3d (No. 230)
Unique sites:
Nd 0.0088 0.0763 0.6545
Sm 0.0000 0.0000 0.0000
Sm 0.0000 0.2500 0.3750
Sb 0.0000 0.2500 0.1250

Record 14
The following is a DFT calculation (PBE) of a relaxed NdSmSb crystal.

Summary:
Uncorrected energy (eV/atom): -5.238

a b c (Å): 5.5430 9.5831 6.6399
angles (deg): 90.00 90.00 90.00
Space group Cmcm (No. 63)
Unique sites:
Nd 0.0000 0.1663 0.2500
Sm 0.0000 0.5000 0.0000
Sb 0.0000 0.1672 0.7500

Record 15
The following is a DFT calculation (PBE) of a relaxed Nd2SmSb crystal.

Summary:
Uncorrected energy (eV/atom): -5.137
Polymorph energy (0 for the lowest one) (eV/atom): 0.018

a b c (Å): 4.9049 4.9049 4.9300
angles (deg): 90.00 90.00 90.00
Space group P4/mmm (No. 123)
Unique sites:
Nd 0.0000 0.5000 0.0000
Sm 0.0000 0.0000 0.5000
Sb 0.5000 0.5000 0.5000

Record 16
The following is a DFT calculation (PBE) of a relaxed TbNdSm2Sb4 crystal.

Summary:
Uncorrected energy (eV/atom): -5.586

a b c (Å): 7.7369 4.4700 7.7389
angles (deg): 90.00 109.47 90.00
Space group P2/m (No. 10)
Unique sites:
Tb 0.0000 0.0000 0.0000
Nd 0.5000 0.5000 0.0000
Sm 0.0000 0.5000 0.5000
Sm 0.5000 0.0000 0.5000
Sb 0.2463 0.0000 0.7493
Sb 0.2459 0.5000 0.2481

Record 17
The following is a DFT calculation (PBE) of a relaxed NdSm2Sb2Te2 crystal.

Summary:
Uncorrected energy (eV/atom): -4.787

a b c (Å): 5.8731 5.8731 15.5013
angles (deg): 90.00 90.00 90.00
Space group I4/mmm (No. 139)
Unique sites:
Nd 0.0000 0.0000 0.0000
Sm 0.0000 0.0000 0.3888
Sb 0.0000 0.5000 0.0000
Te 0.0000 0.0000 0.1998

Record 18
The following is a DFT calculation (PBE) of a relaxed Nd2SmSb2Te2 crystal.

Summary:
Uncorrected energy (eV/atom): -4.859

a b c (Å): 5.8245 5.8245 15.6505
angles (deg): 90.00 90.00 90.00
Space group I4/mmm (No. 139)
Unique sites:
Nd 0.0000 0.0000 0.1135
Sm 0.0000 0.0000 0.5000
Sb 0.0000 0.5000 0.0000
Te 0.0000 0.0000 0.3041